Record 1
# VBAsAu2 | Alexandria via LeMat-Bulk | PBE | relaxed
data_VBAsAu2
_chemical_formula_sum 'V1 B1 As1 Au2'
_cell_length_a 4.999
_cell_length_b 4.999
_cell_length_c 3.792
_cell_angle_alpha 90.00
_cell_angle_beta 90.00
_cell_angle_gamma 90.00
_space_group_name_H-M_alt 'P 4/m m m'
_space_group_IT_number 123
_space_group_name_Hall '-P 4 2'
loop_
_atom_site_label
_atom_site_type_symbol
_atom_site_fract_x
_atom_site_fract_y
_atom_site_fract_z
V1 V 0.000 0.000 0.000
B1 B 0.500 0.500 0.000
As1 As 0.500 0.500 0.500
Au1 Au 0.000 0.500 0.500
# Energy of formation: 1324 meV per atom

=====

Record 2
# K5LiIn6 | Alexandria via LeMat-Bulk | PBE | relaxed
data_K5LiIn6
_chemical_formula_sum 'K10 Li2 In12'
_cell_length_a 4.928
_cell_length_b 17.829
_cell_length_c 10.531
_cell_angle_alpha 90.00
_cell_angle_beta 90.06
_cell_angle_gamma 90.00
_space_group_name_H-M_alt 'C 1 2/m 1'
_space_group_IT_number 12
loop_
_space_group_symop_operation_xyz
'x,y,z'
'-x,-y,-z'
'-x,y,-z'
'x,-y,z'
'x+1/2,y+1/2,z'
'-x+1/2,-y+1/2,-z'
'-x+1/2,y+1/2,-z'
'x+1/2,-y+1/2,z'
loop_
_atom_site_label
_atom_site_type_symbol
_atom_site_fract_x
_atom_site_fract_y
_atom_site_fract_z
K1 K 0.000 0.000 0.000
K2 K 0.000 0.331 0.500
K3 K 0.000 0.337 0.000
Li1 Li 0.000 0.000 0.500
In1 In 0.000 0.102 0.279
In2 In 0.000 0.500 0.274
# Energy of formation: -49 meV per atom

=====

Record 3
# CeErInRh | Alexandria via LeMat-Bulk | PBE | relaxed
data_CeErInRh
_chemical_formula_sum 'Ce1 Er1 In1 Rh1'
_cell_length_a 3.420
_cell_length_b 3.420
_cell_length_c 8.094
_cell_angle_alpha 90.00
_cell_angle_beta 90.00
_cell_angle_gamma 90.00
_space_group_name_H-M_alt 'P 4 m m'
_space_group_IT_number 99
loop_
_space_group_symop_operation_xyz
'x,y,z'
'-y,x,z'
'-x,-y,z'
'y,-x,z'
'-x,y,z'
'y,x,z'
'x,-y,z'
'-y,-x,z'
loop_
_atom_site_label
_atom_site_type_symbol
_atom_site_fract_x
_atom_site_fract_y
_atom_site_fract_z
Ce1 Ce 0.000 0.000 0.000
Er1 Er 0.000 0.000 0.425
In1 In 0.500 0.500 0.705
Rh1 Rh 0.500 0.500 0.223
# Polymorph energy (0 for the lowest one): 0 meV/atom
# Energy of formation: -615 meV per atom

=====

Record 4
# ErMgInIr | Alexandria via LeMat-Bulk | PBE | relaxed
data_ErMgInIr
_chemical_formula_sum 'Er4 Mg4 In4 Ir4'
_cell_length_a 6.859
_cell_length_b 6.859
_cell_length_c 6.859
_cell_angle_alpha 90.00
_cell_angle_beta 90.00
_cell_angle_gamma 90.00
_space_group_name_H-M_alt 'F -4 3 m'
_space_group_IT_number 216
_space_group_name_Hall 'F -4 2 3'
loop_
_atom_site_label
_atom_site_type_symbol
_atom_site_fract_x
_atom_site_fract_y
_atom_site_fract_z
Er1 Er 0.000 0.000 0.000
Mg1 Mg 0.000 0.000 0.500
In1 In 0.250 0.250 0.750
Ir1 Ir 0.250 0.250 0.250
# Energy of formation: -403 meV per atom

=====

Record 5
# Ac2Cu12Rh5 | Alexandria via LeMat-Bulk | PBE | relaxed
data_Ac2Cu12Rh5
_chemical_formula_sum 'Ac6 Cu36 Rh15'
_cell_length_a 8.8887
_cell_length_b 8.8887
_cell_length_c 13.0156
_cell_angle_alpha 90.00
_cell_angle_beta 90.00
_cell_angle_gamma 120.00
_space_group_name_H-M_alt 'R -3 m'
_space_group_IT_number 166
_space_group_name_Hall '-R 3 2"'
loop_
_atom_site_label
_atom_site_type_symbol
_atom_site_fract_x
_atom_site_fract_y
_atom_site_fract_z
Ac1 Ac 0.0000 0.0000 0.1683
Cu1 Cu 0.0000 0.2852 0.5000
Cu2 Cu 0.0031 0.5016 0.6594
Rh1 Rh 0.0000 0.0000 0.3989
Rh2 Rh 0.0000 0.5000 0.0000
# Energy of formation: -156 meV per atom

=====

> Which of these has the highest energy of formation?

VBAsAu2